# MnIn2NiF, relaxed, DFT GGA+U
data_MnIn2NiF
_symmetry_space_group_name_H-M 'P 1'
_symmetry_Int_Tables_number 1
_symmetry_space_group_name_Hall 'P 1'
_cell_length_a 5.317
_cell_length_b 4.472
_cell_length_c 5.317
_cell_angle_alpha 90.00
_cell_angle_beta 90.00
_cell_angle_gamma 90.00
loop_
_atom_site_label
_atom_site_fract_x
_atom_site_fract_y
_atom_site_fract_z
_atom_site_occupancy
F1 0.500 0.500 0.500 1
Mn1 0.000 0.000 0.000 1
Ni1 0.000 0.500 0.000 1
In1 0.000 0.000 0.500 1
In2 0.500 0.000 0.000 1
# space-group type	No. 123
# calculated total energy	-2.960	eV/atom
# crystal system	tetragonal
# M_tot	4.9	μB/cell